VASP calculation (GGA-PBE) on HfTi2SbN after structural relaxation.

Magnetization: 0.0 μB/f.u.
ΔE_f (raw): -0.822 eV/atom
VASP energy: -8.461 eV per atom
Volume: 15.9 A^3/atom

```
HfTi2SbN
1.0
4.152 0.000 0.000
0.000 4.152 0.000
0.000 0.000 4.613
Hf Ti Sb N
1 2 1 1
direct
0.000 0.000 0.000 Hf
0.000 0.500 0.500 Ti
0.500 0.000 0.500 Ti
0.500 0.500 0.000 Sb
0.000 0.000 0.500 N
```